YMoP2O | PBE+U | relaxed

## Properties
Calculated total energy in eV/atom: -5.709
Space group: P4/mmm, No. 123
Size of the total moment in μB per formula unit: 2.733

Cell lengths 5.354, 5.354, 4.151 Å; angles 90.00, 90.00, 90.00 degrees
Fractional coordinates of all 5 atoms:
Y 0.000 0.000 0.000
Mo 0.500 0.500 0.500
P 0.000 0.500 0.000
P 0.500 0.000 0.000
O 0.000 0.000 0.500